# 1
Below is a relaxed structure of KNiAgS3, with properties calculated at the GGA-PBE level.

Unit cell a=7.507 b=7.507 c=10.060 alpha=90.00 beta=90.00 gamma=152.93
Positions (direct):
K (0.234, 0.766, 0.750)
K (0.766, 0.234, 0.250)
Ni (0.500, 0.500, 0.000)
Ni (0.500, 0.500, 0.500)
Ag (0.070, 0.930, 0.250)
Ag (0.930, 0.070, 0.750)
S (0.102, 0.898, 0.014)
S (0.102, 0.898, 0.486)
S (0.445, 0.555, 0.250)
S (0.555, 0.445, 0.750)
S (0.898, 0.102, 0.514)
S (0.898, 0.102, 0.986)

**Total DFT energy (no corrections)**: -3.89 eV per atom
**SG**: Cmcm (63)

# 2
Below is a relaxed structure of KNiAgSeS2, with properties calculated at the GGA-PBE level.

Unit cell a=7.926 b=7.926 c=10.288 alpha=90.00 beta=90.00 gamma=155.00
Positions (direct):
K (0.232, 0.768, 0.750)
K (0.768, 0.232, 0.250)
Ni (0.500, 0.500, 0.000)
Ni (0.500, 0.500, 0.500)
Ag (0.085, 0.915, 0.250)
Ag (0.915, 0.085, 0.750)
Se (0.446, 0.554, 0.250)
Se (0.554, 0.446, 0.750)
S (0.097, 0.903, 0.015)
S (0.097, 0.903, 0.485)
S (0.903, 0.097, 0.515)
S (0.903, 0.097, 0.985)

**Total DFT energy (no corrections)**: -3.82 eV per atom
**SG**: Cmcm (63)

# 3
Below is a relaxed structure of KNiAgTeS2, with properties calculated at the GGA-PBE level.

Unit cell a=8.289 b=8.289 c=10.575 alpha=90.00 beta=90.00 gamma=156.07
Positions (direct):
K (0.237, 0.763, 0.750)
K (0.763, 0.237, 0.250)
Ni (0.000, 0.000, 0.000)
Ni (0.000, 0.000, 0.500)
Ag (0.435, 0.565, 0.250)
Ag (0.565, 0.435, 0.750)
Te (0.079, 0.921, 0.250)
Te (0.921, 0.079, 0.750)
S (0.408, 0.592, 0.023)
S (0.408, 0.592, 0.477)
S (0.592, 0.408, 0.523)
S (0.592, 0.408, 0.977)

**Total DFT energy (no corrections)**: -3.75 eV per atom
**SG**: Cmcm (63)

# 4
Below is a relaxed structure of KNiAgTe2S, with properties calculated at the GGA-PBE level.

Unit cell a=7.397 b=7.397 c=10.958 alpha=90.00 beta=90.00 gamma=148.93
Positions (direct):
K (0.247, 0.753, 0.750)
K (0.753, 0.247, 0.250)
Ni (0.500, 0.500, 0.000)
Ni (0.500, 0.500, 0.500)
Ag (0.049, 0.951, 0.250)
Ag (0.951, 0.049, 0.750)
Te (0.116, 0.884, 0.016)
Te (0.116, 0.884, 0.484)
Te (0.884, 0.116, 0.516)
Te (0.884, 0.116, 0.984)
S (0.439, 0.561, 0.250)
S (0.561, 0.439, 0.750)

**Total DFT energy (no corrections)**: -3.52 eV per atom
**SG**: Cmcm (63)

# 5
Below is a relaxed structure of KNiAgSe3, with properties calculated at the GGA-PBE level.

Unit cell a=7.769 b=7.769 c=10.432 alpha=90.00 beta=90.00 gamma=152.88
Positions (direct):
K (0.248, 0.752, 0.750)
K (0.752, 0.248, 0.250)
Ni (0.500, 0.500, 0.000)
Ni (0.500, 0.500, 0.500)
Ag (0.063, 0.937, 0.250)
Ag (0.937, 0.063, 0.750)
Se (0.106, 0.894, 0.013)
Se (0.106, 0.894, 0.487)
Se (0.435, 0.565, 0.250)
Se (0.565, 0.435, 0.750)
Se (0.894, 0.106, 0.513)
Se (0.894, 0.106, 0.987)

**Total DFT energy (no corrections)**: -3.62 eV per atom
**SG**: Cmcm (63)

# 6
Below is a relaxed structure of KNiAgTeSe2, with properties calculated at the GGA-PBE level.

Unit cell a=8.191 b=8.191 c=10.650 alpha=90.00 beta=90.00 gamma=154.46
Positions (direct):
K (0.236, 0.764, 0.750)
K (0.764, 0.236, 0.250)
Ni (0.000, 0.000, 0.000)
Ni (0.000, 0.000, 0.500)
Ag (0.440, 0.560, 0.250)
Ag (0.560, 0.440, 0.750)
Te (0.075, 0.925, 0.250)
Te (0.925, 0.075, 0.750)
Se (0.398, 0.602, 0.017)
Se (0.398, 0.602, 0.483)
Se (0.602, 0.398, 0.517)
Se (0.602, 0.398, 0.983)

**Total DFT energy (no corrections)**: -3.56 eV per atom
**SG**: Cmcm (63)

# 7
Below is a relaxed structure of KNiAgTe3, with properties calculated at the GGA-PBE level.

Unit cell a=8.145 b=8.145 c=11.091 alpha=90.00 beta=90.00 gamma=152.44
Positions (direct):
K (0.243, 0.757, 0.750)
K (0.757, 0.243, 0.250)
Ni (0.000, 0.000, 0.000)
Ni (0.000, 0.000, 0.500)
Ag (0.438, 0.562, 0.250)
Ag (0.562, 0.438, 0.750)
Te (0.067, 0.933, 0.250)
Te (0.390, 0.610, 0.013)
Te (0.390, 0.610, 0.487)
Te (0.610, 0.390, 0.513)
Te (0.610, 0.390, 0.987)
Te (0.933, 0.067, 0.750)

**Total DFT energy (no corrections)**: -3.41 eV per atom
**SG**: Cmcm (63)

# 8
Below is a relaxed structure of KNpAg, with properties calculated at the GGA-PBE level.

Unit cell a=5.327 b=5.327 c=5.327 alpha=60.00 beta=60.00 gamma=60.00
Positions (direct):
K (0.000, 0.000, 0.000)
Np (0.500, 0.500, 0.500)
Ag (0.250, 0.250, 0.250)

**Total DFT energy (no corrections)**: -4.57 eV per atom
**SG**: F-43m (216)
**Distance to the lowest polymorph of the same formula**: 0.00 eV/f.u.

# 9
Below is a relaxed structure of KNpAgSe3, with properties calculated at the GGA-PBE level.

Unit cell a=7.618 b=7.618 c=10.841 alpha=90.00 beta=90.00 gamma=147.69
Positions (direct):
K (0.245, 0.755, 0.750)
K (0.755, 0.245, 0.250)
Np (0.500, 0.500, 0.000)
Np (0.500, 0.500, 0.500)
Ag (0.044, 0.956, 0.250)
Ag (0.956, 0.044, 0.750)
Se (0.128, 0.872, 0.039)
Se (0.128, 0.872, 0.461)
Se (0.434, 0.566, 0.250)
Se (0.566, 0.434, 0.750)
Se (0.872, 0.128, 0.539)
Se (0.872, 0.128, 0.961)

**Total DFT energy (no corrections)**: -5.53 eV per atom
**SG**: Cmcm (63)

# 10
Below is a relaxed structure of KNpAgTe3, with properties calculated at the GGA-PBE level.

Unit cell a=8.119 b=8.119 c=11.489 alpha=90.00 beta=90.00 gamma=148.11
Positions (direct):
K (0.247, 0.753, 0.750)
K (0.753, 0.247, 0.250)
Np (0.000, 0.000, 0.000)
Np (0.000, 0.000, 0.500)
Ag (0.459, 0.541, 0.250)
Ag (0.541, 0.459, 0.750)
Te (0.070, 0.930, 0.250)
Te (0.367, 0.633, 0.043)
Te (0.367, 0.633, 0.457)
Te (0.633, 0.367, 0.543)
Te (0.633, 0.367, 0.957)
Te (0.930, 0.070, 0.750)

**Total DFT energy (no corrections)**: -5.07 eV per atom
**SG**: Cmcm (63)

# 11
Below is a relaxed structure of K2Ag2O5, with properties calculated at the GGA-PBE level.

Unit cell a=3.970 b=3.970 c=8.794 alpha=90.00 beta=90.00 gamma=90.00
Positions (direct):
K (0.000, 0.000, 0.000)
K (0.000, 0.000, 0.500)
Ag (0.500, 0.500, 0.234)
Ag (0.500, 0.500, 0.766)
O (0.000, 0.500, 0.283)
O (0.000, 0.500, 0.717)
O (0.500, 0.000, 0.283)
O (0.500, 0.000, 0.717)
O (0.500, 0.500, 0.000)

**Total DFT energy (no corrections)**: -3.89 eV per atom
**SG**: P4/mmm (123)
**Distance to the lowest polymorph of the same formula**: 0.00 eV/f.u.

# 12
Below is a relaxed structure of KAgO2, with properties calculated at the GGA-PBE level.

Unit cell a=5.770 b=5.770 c=5.970 alpha=118.30 beta=118.30 gamma=85.30
Positions (direct):
K (0.134, 0.866, 0.750)
K (0.866, 0.134, 0.250)
Ag (0.478, 0.522, 0.250)
Ag (0.522, 0.478, 0.750)
O (0.285, 0.299, 0.806)
O (0.299, 0.285, 0.306)
O (0.701, 0.715, 0.694)
O (0.715, 0.701, 0.194)

**Total DFT energy (no corrections)**: -4.04 eV per atom
**SG**: C2/c (15)

# 13
Below is a relaxed structure of K2Ag2O5, with properties calculated at the GGA-PBE level.

Unit cell a=4.513 b=4.513 c=7.059 alpha=90.00 beta=90.00 gamma=90.00
Positions (direct):
K (0.000, 0.000, 0.181)
K (0.000, 0.000, 0.819)
Ag (0.500, 0.500, 0.000)
Ag (0.500, 0.500, 0.500)
O (0.000, 0.000, 0.500)
O (0.000, 0.500, 0.233)
O (0.000, 0.500, 0.767)
O (0.500, 0.000, 0.233)
O (0.500, 0.000, 0.767)

**Total DFT energy (no corrections)**: -2.78 eV per atom
**SG**: P4/mmm (123)
**Distance to the lowest polymorph of the same formula**: 9.95 eV/f.u.

# 14
Below is a relaxed structure of KAgOsO3, with properties calculated at the GGA-PBE level.

Unit cell a=11.475 b=3.181 c=10.598 alpha=90.00 beta=90.00 gamma=90.00
Positions (direct):
K (0.229, 0.250, 0.148)
K (0.271, 0.750, 0.648)
K (0.729, 0.250, 0.352)
K (0.771, 0.750, 0.852)
Ag (0.044, 0.250, 0.912)
Ag (0.456, 0.750, 0.412)
Ag (0.544, 0.250, 0.588)
Ag (0.956, 0.750, 0.088)
Os (0.019, 0.250, 0.369)
Os (0.481, 0.750, 0.869)
Os (0.519, 0.250, 0.131)
Os (0.981, 0.750, 0.631)
O (0.074, 0.250, 0.551)
O (0.082, 0.750, 0.769)
O (0.115, 0.750, 0.322)
O (0.385, 0.250, 0.822)
O (0.418, 0.250, 0.269)
O (0.426, 0.750, 0.051)
O (0.574, 0.250, 0.949)
O (0.582, 0.750, 0.731)
O (0.615, 0.750, 0.178)
O (0.885, 0.250, 0.678)
O (0.918, 0.250, 0.231)
O (0.926, 0.750, 0.449)

**Total DFT energy (no corrections)**: -5.80 eV per atom
**SG**: Pnma (62)

# 15
Below is a relaxed structure of KAgPO, with properties calculated at the GGA-PBE level.

Unit cell a=3.714 b=7.117 c=7.002 alpha=90.00 beta=90.00 gamma=90.00
Positions (direct):
K (0.000, 0.184, 0.000)
K (0.000, 0.816, 0.500)
Ag (0.500, 0.281, 0.419)
Ag (0.500, 0.719, 0.919)
P (0.500, 0.447, 0.711)
P (0.500, 0.553, 0.211)
O (0.000, 0.162, 0.382)
O (0.000, 0.838, 0.882)

**Total DFT energy (no corrections)**: -3.55 eV per atom
**SG**: Pmc2_1 (26)
**Distance to the lowest polymorph of the same formula**: 0.72 eV/f.u.

# 16
Below is a relaxed structure of KAgPO, with properties calculated at the GGA-PBE level.

Unit cell a=4.333 b=4.333 c=9.066 alpha=90.00 beta=90.00 gamma=90.00
Positions (direct):
K (0.250, 0.750, 0.000)
K (0.750, 0.250, 0.000)
Ag (0.250, 0.250, 0.264)
Ag (0.750, 0.750, 0.736)
P (0.250, 0.250, 0.540)
P (0.750, 0.750, 0.460)
O (0.250, 0.750, 0.500)
O (0.750, 0.250, 0.500)

**Total DFT energy (no corrections)**: -3.20 eV per atom
**SG**: P4/nmm (129)
**Distance to the lowest polymorph of the same formula**: 2.10 eV/f.u.

# 17
Below is a relaxed structure of KAgPO, with properties calculated at the GGA-PBE level.

Unit cell a=4.132 b=7.868 c=4.578 alpha=90.00 beta=90.00 gamma=90.00
Positions (direct):
K (0.000, 0.141, 0.000)
K (0.000, 0.859, 0.500)
Ag (0.500, 0.263, 0.500)
Ag (0.500, 0.737, 0.000)
P (0.000, 0.445, 0.498)
P (0.000, 0.555, 0.998)
O (0.500, 0.000, 0.252)
O (0.500, 0.000, 0.752)

**Total DFT energy (no corrections)**: -3.73 eV per atom
**SG**: Pmc2_1 (26)
**Distance to the lowest polymorph of the same formula**: 0.00 eV/f.u.

# 18
Below is a relaxed structure of KAgPO, with properties calculated at the GGA-PBE level.

Unit cell a=4.404 b=4.404 c=8.827 alpha=90.00 beta=90.00 gamma=90.00
Positions (direct):
K (0.250, 0.250, 0.148)
K (0.750, 0.750, 0.852)
Ag (0.250, 0.750, 0.500)
Ag (0.750, 0.250, 0.500)
P (0.250, 0.250, 0.638)
P (0.750, 0.750, 0.362)
O (0.250, 0.750, 0.000)
O (0.750, 0.250, 0.000)

**Total DFT energy (no corrections)**: -3.40 eV per atom
**SG**: P4/nmm (129)
**Distance to the lowest polymorph of the same formula**: 1.30 eV/f.u.

# 19
Below is a relaxed structure of KAgPO, with properties calculated at the GGA-PBE level.

Unit cell a=4.671 b=4.671 c=6.627 alpha=90.00 beta=90.00 gamma=90.00
Positions (direct):
K (0.250, 0.250, 0.138)
K (0.750, 0.750, 0.862)
Ag (0.250, 0.750, 0.500)
Ag (0.750, 0.250, 0.500)
P (0.250, 0.250, 0.674)
P (0.750, 0.750, 0.326)
O (0.250, 0.750, 0.000)
O (0.750, 0.250, 0.000)

**Total DFT energy (no corrections)**: -3.42 eV per atom
**SG**: P4/nmm (129)
**Distance to the lowest polymorph of the same formula**: 1.22 eV/f.u.

# 20
Below is a relaxed structure of KAgPbO3, with properties calculated at the GGA-PBE level.

Unit cell a=12.237 b=3.380 c=10.274 alpha=90.00 beta=90.00 gamma=90.00
Positions (direct):
K (0.245, 0.250, 0.132)
K (0.255, 0.750, 0.632)
K (0.745, 0.250, 0.368)
K (0.755, 0.750, 0.868)
Ag (0.038, 0.250, 0.914)
Ag (0.462, 0.750, 0.414)
Ag (0.538, 0.250, 0.586)
Ag (0.962, 0.750, 0.086)
Pb (0.024, 0.250, 0.357)
Pb (0.476, 0.750, 0.857)
Pb (0.524, 0.250, 0.143)
Pb (0.976, 0.750, 0.643)
O (0.086, 0.250, 0.556)
O (0.094, 0.750, 0.802)
O (0.117, 0.750, 0.277)
O (0.383, 0.250, 0.777)
O (0.406, 0.250, 0.302)
O (0.414, 0.750, 0.056)
O (0.586, 0.250, 0.944)
O (0.594, 0.750, 0.698)
O (0.617, 0.750, 0.223)
O (0.883, 0.250, 0.723)
O (0.906, 0.250, 0.198)
O (0.914, 0.750, 0.444)

**Total DFT energy (no corrections)**: -4.56 eV per atom
**SG**: Pnma (62)